# SmIBrF, relaxed, DFT PBE
data_SmIBrF
_symmetry_space_group_name_H-M 'P 1'
_symmetry_Int_Tables_number 1
_cell_length_a 4.1464
_cell_length_b 4.1464
_cell_length_c 8.4318
_cell_angle_alpha 90.04
_cell_angle_beta 104.19
_cell_angle_gamma 120.00
loop_
_symmetry_equiv_pos_as_xyz
'x,y,z'
loop_
_atom_site_label
_atom_site_fract_x
_atom_site_fract_y
_atom_site_fract_z
_atom_site_occupancy
Sm1 0.5003 0.6147 0.1150 1
Br1 0.0090 0.8687 0.8777 1
I1 0.3496 0.0398 0.3894 1
F1 0.8333 0.2812 0.1145 1
# - E_form (uncorrected): -2.47 eV/atom
# - Calculated volume: 120.39 Å³/cell
# - Size of the total moment: 0.000 μB per formula unit
# - Energy: -4.928 eV per atom